[1]
{"formula": "CePm2Zn4", "functional": "PBE", "state": "optimized geometry", "total_magnetization_mub_per_cell": 0.675, "delta_e_f_ev_per_atom": -0.050, "dos_at_fermi_per_ev_atom": 1.38, "sg": "R-3m", "cell": [[2.515, 1.452, 8.306], [-2.515, 1.452, 8.306], [0.000, -2.904, 8.306]], "species": ["Ce", "Pm", "Pm", "Zn", "Zn", "Zn", "Zn"], "frac_coords": [[0.000, 0.000, 0.000], [0.245, 0.245, 0.245], [0.755, 0.755, 0.755], [0.123, 0.123, 0.123], [0.377, 0.377, 0.377], [0.623, 0.623, 0.623], [0.877, 0.877, 0.877]]}

[2]
{"formula": "HoTm3Ni", "functional": "PBE", "state": "optimized geometry", "total_magnetization_mub_per_cell": 0.466, "delta_e_f_ev_per_atom": -0.017, "dos_at_fermi_per_ev_atom": 1.36, "sg": "P-1", "polymorph_energy_mev_per_atom": 110, "cell": [[3.473, 0.000, 0.000], [0.008, 9.224, 0.000], [1.734, 3.339, 9.136]], "species": ["Ho", "Ho", "Tm", "Tm", "Tm", "Tm", "Tm", "Tm", "Ni", "Ni"], "frac_coords": [[0.007, 0.315, 0.486], [0.993, 0.685, 0.514], [0.169, 0.979, 0.161], [0.187, 0.352, 0.126], [0.367, 0.376, 0.766], [0.633, 0.624, 0.234], [0.813, 0.648, 0.874], [0.831, 0.021, 0.839], [0.248, 0.789, 0.004], [0.752, 0.211, 0.996]]}

[3]
{"formula": "NdSmZnTc", "functional": "PBE", "state": "optimized geometry", "total_magnetization_mub_per_cell": 0.000, "delta_e_f_ev_per_atom": -0.036, "dos_at_fermi_per_ev_atom": 0.41, "sg": "F-43m", "cell": [[0.000, 3.577, 3.577], [3.577, 0.000, 3.577], [3.577, 3.577, 0.000]], "species": ["Nd", "Sm", "Zn", "Tc"], "frac_coords": [[0.000, 0.000, 0.000], [0.500, 0.500, 0.500], [0.750, 0.750, 0.750], [0.250, 0.250, 0.250]]}

[4]
{"formula": "HfMgAl", "functional": "PBE", "state": "optimized geometry", "total_magnetization_mub_per_cell": 0.000, "delta_e_f_ev_per_atom": -0.107, "dos_at_fermi_per_ev_atom": 0.55, "sg": "I4mm", "cell": [[-1.526, 1.526, 6.424], [1.526, -1.526, 6.424], [1.526, 1.526, -6.424]], "species": ["Hf", "Mg", "Al"], "frac_coords": [[0.000, 0.000, 0.000], [0.684, 0.684, 0.000], [0.348, 0.348, 0.000]]}

[5]
{"formula": "V2HPtAu", "functional": "PBE", "state": "optimized geometry", "total_magnetization_mub_per_cell": 0.540, "dos_at_fermi_per_ev_atom": 1.12, "sg": "P4/mmm", "polymorph_energy_mev_per_atom": 0, "cell": [[3.920, 0.000, 0.000], [0.000, 3.920, 0.000], [0.000, 0.000, 4.030]], "species": ["V", "V", "H", "Pt", "Au"], "frac_coords": [[0.000, 0.500, 0.000], [0.500, 0.000, 0.000], [0.000, 0.000, 0.000], [0.000, 0.000, 0.500], [0.500, 0.500, 0.500]]}

[6]
{"formula": "Rb2SnBr2Cl4", "functional": "PBE", "state": "optimized geometry", "total_magnetization_mub_per_cell": 0.000, "raw_formation_energy_ev_per_atom": -1.38, "dos_at_fermi_per_ev_atom": 0.00, "sg": "I4/mmm", "cell": [[-3.767, 3.767, 5.278], [3.767, -3.767, 5.278], [3.767, 3.767, -5.278]], "species": ["Rb", "Rb", "Sn", "Br", "Br", "Cl", "Cl", "Cl", "Cl"], "frac_coords": [[0.250, 0.750, 0.500], [0.750, 0.250, 0.500], [0.000, 0.000, 0.000], [0.249, 0.249, 0.000], [0.751, 0.751, 0.000], [0.233, 0.233, 0.466], [0.233, 0.767, 0.000], [0.767, 0.233, 0.000], [0.767, 0.767, 0.534]]}